# 1
## MgRe2Cl (GGA-PBE)

Data for crystalline MgRe2Cl at its relaxed geometry.

Properties
The value obtained for the uncorrected formation energy is 0.63 eV/atom. The calculation puts the total moment at 0.00 μB per formula unit. For the distance to the lowest polymorph of the same formula, the calculation gives 0.5752 eV/atom.

```
data_MgRe2Cl
_cell_length_a 2.948
_cell_length_b 4.321
_cell_length_c 5.384
_cell_angle_alpha 90.00
_cell_angle_beta 90.00
_cell_angle_gamma 90.00
_space_group_name_H-M_alt 'P m m m'
_space_group_IT_number 47
loop_
_space_group_symop_operation_xyz
'x,y,z'
'-x,-y,-z'
'-x,-y,z'
'x,y,-z'
'x,-y,-z'
'-x,y,z'
'-x,y,-z'
'x,-y,z'
loop_
_atom_site_label
_atom_site_type_symbol
_atom_site_fract_x
_atom_site_fract_y
_atom_site_fract_z
_atom_site_occupancy
Mg1 Mg 0.000 0.000 0.000 1
Re1 Re 0.000 0.500 0.500 1
Re2 Re 0.500 0.000 0.500 1
Cl1 Cl 0.500 0.500 0.000 1
```

# 2
## MgReCl (GGA-PBE)

Data for crystalline MgReCl at its relaxed geometry.

Properties
The value obtained for the uncorrected formation energy is 0.35 eV/atom. The calculation puts the total moment at 0.00 μB per formula unit. For the distance to the lowest polymorph of the same formula, the calculation gives 0.1401 eV/atom.

```
data_MgReCl
_cell_length_a 2.807
_cell_length_b 2.807
_cell_length_c 16.123
_cell_angle_alpha 90.00
_cell_angle_beta 90.00
_cell_angle_gamma 90.00
_space_group_name_H-M_alt 'I 4 m m'
_space_group_IT_number 107
_space_group_name_Hall 'I 4 -2'
loop_
_atom_site_label
_atom_site_type_symbol
_atom_site_fract_x
_atom_site_fract_y
_atom_site_fract_z
_atom_site_occupancy
Mg1 Mg 0.000 0.000 0.000 1
Re1 Re 0.000 0.000 0.363 1
Cl1 Cl 0.000 0.000 0.594 1
```

# 3
## MgRe2Cl (GGA-PBE)

Data for crystalline MgRe2Cl at its relaxed geometry.

Properties
The value obtained for the uncorrected formation energy is 0.67 eV/atom. The calculation puts the total moment at 0.00 μB per formula unit. For the distance to the lowest polymorph of the same formula, the calculation gives 0.6157 eV/atom.

```
data_MgRe2Cl
_cell_length_a 3.541
_cell_length_b 3.541
_cell_length_c 6.253
_cell_angle_alpha 90.00
_cell_angle_beta 90.00
_cell_angle_gamma 90.00
_space_group_name_H-M_alt 'P 4/m m m'
_space_group_IT_number 123
_space_group_name_Hall '-P 4 2'
loop_
_atom_site_label
_atom_site_type_symbol
_atom_site_fract_x
_atom_site_fract_y
_atom_site_fract_z
_atom_site_occupancy
Mg1 Mg 0.000 0.000 0.000 1
Re1 Re 0.000 0.500 0.500 1
Cl1 Cl 0.500 0.500 0.000 1
```

# 4
## Mg2ReCl (GGA-PBE)

Data for crystalline Mg2ReCl at its relaxed geometry.

Properties
The value obtained for the uncorrected formation energy is 0.20 eV/atom. The calculation puts the total moment at 0.00 μB per formula unit. For the distance to the lowest polymorph of the same formula, the calculation gives 0.3688 eV/atom.

```
data_Mg2ReCl
_cell_length_a 2.926
_cell_length_b 4.783
_cell_length_c 11.235
_cell_angle_alpha 90.00
_cell_angle_beta 90.00
_cell_angle_gamma 90.00
_space_group_name_H-M_alt 'I m m 2'
_space_group_IT_number 44
loop_
_space_group_symop_operation_xyz
'x,y,z'
'-x,-y,z'
'-x,y,z'
'x,-y,z'
'x+1/2,y+1/2,z+1/2'
'-x+1/2,-y+1/2,z+1/2'
'-x+1/2,y+1/2,z+1/2'
'x+1/2,-y+1/2,z+1/2'
loop_
_atom_site_label
_atom_site_type_symbol
_atom_site_fract_x
_atom_site_fract_y
_atom_site_fract_z
_atom_site_occupancy
Mg1 Mg 0.000 0.000 0.000 1
Mg2 Mg 0.000 0.500 0.175 1
Re1 Re 0.000 0.500 0.708 1
Cl1 Cl 0.000 0.000 0.385 1
```

# 5
## MgRe2Cl2 (GGA-PBE)

Data for crystalline MgRe2Cl2 at its relaxed geometry.

Properties
The value obtained for the uncorrected formation energy is 0.92 eV/atom. The calculation puts the total moment at 0.00 μB per formula unit. For the distance to the lowest polymorph of the same formula, the calculation gives 0.1804 eV/atom.

```
data_MgRe2Cl2
_cell_length_a 9.188
_cell_length_b 9.188
_cell_length_c 2.780
_cell_angle_alpha 90.00
_cell_angle_beta 90.00
_cell_angle_gamma 90.00
_space_group_name_H-M_alt 'P 4/m b m'
_space_group_IT_number 127
_space_group_name_Hall '-P 4 2ab'
loop_
_atom_site_label
_atom_site_type_symbol
_atom_site_fract_x
_atom_site_fract_y
_atom_site_fract_z
_atom_site_occupancy
Mg1 Mg 0.000 0.000 0.000 1
Re1 Re 0.090 0.410 0.000 1
Cl1 Cl 0.243 0.257 0.500 1
```

# 6
## Mg3ReCl (GGA-PBE)

Data for crystalline Mg3ReCl at its relaxed geometry.

Properties
The value obtained for the uncorrected formation energy is 0.82 eV/atom. The calculation puts the total moment at 2.73 μB per formula unit. For the distance to the lowest polymorph of the same formula, the calculation gives 0.0840 eV/atom.

```
data_Mg3ReCl
_cell_length_a 5.303
_cell_length_b 5.303
_cell_length_c 5.303
_cell_angle_alpha 90.00
_cell_angle_beta 90.00
_cell_angle_gamma 90.00
_space_group_name_H-M_alt 'P m -3 m'
_space_group_IT_number 221
_space_group_name_Hall '-P 4 2 3'
loop_
_atom_site_label
_atom_site_type_symbol
_atom_site_fract_x
_atom_site_fract_y
_atom_site_fract_z
_atom_site_occupancy
Mg1 Mg 0.000 0.000 0.500 1
Re1 Re 0.000 0.000 0.000 1
Cl1 Cl 0.500 0.500 0.500 1
```

Q: What is the uncorrected formation energy in the second record?
A: 0.35 eV/atom

Q: What is the formula in the sixth record?
A: Mg3ReCl

Q: The lowest distance to the lowest polymorph of the same formula belongs to which entry?
A: Mg3ReCl